Entry 1:
Density functional theory data (PBE-GGA) for a relaxed Mo4W3 crystal.

Its formation enthalpy at 0 K is 0.6642 eV/atom.

abc: 2.6339 2.6339 17.1753
angles: 85.60 85.60 90.00
Element x y z (fractional)
Mo1 0.1372 0.1373 0.7255
Mo2 0.8628 0.8627 0.2745
Mo3 0.4323 0.4323 0.1354
Mo4 0.5677 0.5677 0.8646
W1 0.0000 0.0000 0.0000
W2 0.2152 0.2152 0.5696
W3 0.7848 0.7848 0.4304


Entry 2:
Density functional theory data (PBE-GGA) for a relaxed Mo7W6 crystal.

Its formation enthalpy at 0 K is 0.3082 eV/atom.

abc: 9.7249 9.7249 9.7249
angles: 30.78 30.78 30.78
Element x y z (fractional)
Mo1 0.9137 0.4093 0.4093
Mo2 0.4093 0.4093 0.9137
Mo3 0.4093 0.9137 0.4093
Mo4 0.0863 0.5907 0.5907
Mo5 0.5907 0.0863 0.5907
Mo6 0.5907 0.5907 0.0863
Mo7 0.5000 0.5000 0.5000
W1 0.9541 0.9541 0.9541
W2 0.0459 0.0459 0.0459
W3 0.8510 0.8510 0.8510
W4 0.1490 0.1490 0.1490
W5 0.6680 0.6680 0.6680
W6 0.3320 0.3320 0.3320


Entry 3:
Density functional theory data (PBE-GGA) for a relaxed MoW crystal.

Its formation enthalpy at 0 K is 0.3355 eV/atom.

abc: 2.6558 2.6558 9.2804
angles: 90.00 90.00 90.00
Element x y z (fractional)
Mo1 0.2500 0.2500 0.1256
Mo2 0.7500 0.7500 0.8744
W1 0.2500 0.2500 0.6246
W2 0.7500 0.7500 0.3754


Entry 4:
Density functional theory data (PBE-GGA) for a relaxed MoW crystal.

Its formation enthalpy at 0 K is 0.7456 eV/atom.

abc: 2.6166 7.4188 10.5096
angles: 90.00 90.00 90.00
Element x y z (fractional)
Mo1 0.0000 0.9908 0.6301
Mo2 0.5000 0.0092 0.8699
Mo3 0.5000 0.0092 0.1301
Mo4 0.0000 0.9908 0.3699
Mo5 0.0000 0.7164 0.0000
Mo6 0.5000 0.2836 0.5000
W1 0.0000 0.6682 0.7529
W2 0.5000 0.3318 0.7471
W3 0.5000 0.3318 0.2529
W4 0.0000 0.6682 0.2471
W5 0.0000 0.6374 0.5000
W6 0.5000 0.3626 0.0000


Entry 5:
Density functional theory data (PBE-GGA) for a relaxed MoW crystal.

Its formation enthalpy at 0 K is -0.0060 eV/atom.

abc: 2.7490 2.7490 4.4906
angles: 90.00 90.00 109.35
Element x y z (fractional)
Mo1 0.0000 0.0000 0.0000
W1 0.5000 0.5000 0.5000


Entry 6:
Density functional theory data (PBE-GGA) for a relaxed MoW2 crystal.

Its formation enthalpy at 0 K is 0.3544 eV/atom.

abc: 3.7703 3.7703 14.1089
angles: 97.57 97.57 90.04
Element x y z (fractional)
Mo1 0.0833 0.0834 0.1669
Mo2 0.9166 0.9167 0.8331
Mo3 0.3334 0.8333 0.6669
Mo4 0.1667 0.6666 0.3331
W1 0.2500 0.2500 0.5005
W2 0.7499 0.7499 0.4995
W3 0.5001 0.0001 0.0005
W4 0.9999 0.4999 0.9995
W5 0.4168 0.4167 0.8337
W6 0.5833 0.5832 0.1663
W7 0.6667 0.1668 0.3337
W8 0.8332 0.3333 0.6663


Entry 7:
Density functional theory data (PBE-GGA) for a relaxed Mo4W5 crystal.

Its formation enthalpy at 0 K is -0.0145 eV/atom.

abc: 3.1792 6.9179 6.9179
angles: 93.03 103.28 76.72
Element x y z (fractional)
Mo1 0.3335 0.6665 0.3335
Mo2 0.6665 0.3335 0.6665
Mo3 0.0000 0.3335 0.3335
Mo4 0.0000 0.6665 0.6665
W1 0.0000 0.0000 0.0000
W2 0.3333 0.0000 0.6665
W3 0.6667 0.0000 0.3335
W4 0.6667 0.6665 0.0000
W5 0.3333 0.3335 0.0000


Entry 8:
Density functional theory data (PBE-GGA) for a relaxed MoW crystal.

Its formation enthalpy at 0 K is 0.7265 eV/atom.

abc: 7.2794 7.2794 4.6056
angles: 90.00 90.00 120.00
Element x y z (fractional)
Mo1 0.7493 0.9037 0.2500
Mo2 0.8456 0.7493 0.7500
Mo3 0.0963 0.8456 0.2500
Mo4 0.2507 0.0963 0.7500
Mo5 0.1544 0.2507 0.2500
Mo6 0.9037 0.1544 0.7500
W1 0.9031 0.4057 0.2500
W2 0.4974 0.9031 0.7500
W3 0.5943 0.4974 0.2500
W4 0.0969 0.5943 0.7500
W5 0.5026 0.0969 0.2500
W6 0.4057 0.5026 0.7500


Entry 9:
Density functional theory data (PBE-GGA) for a relaxed MoW crystal.

Its formation enthalpy at 0 K is 0.4441 eV/atom.

abc: 2.7724 2.7724 9.8361
angles: 90.00 90.00 120.00
Element x y z (fractional)
Mo1 0.0000 0.0000 0.0009
Mo2 0.3333 0.6667 0.2491
W1 0.0000 0.0000 0.4992
W2 0.3333 0.6667 0.7508


Entry 10:
Density functional theory data (PBE-GGA) for a relaxed Mo3W5 crystal.

Its formation enthalpy at 0 K is -0.0152 eV/atom.

abc: 3.1782 3.1782 12.7095
angles: 90.00 90.00 90.00
Element x y z (fractional)
Mo1 0.5000 0.5000 0.1246
Mo2 0.5000 0.5000 0.8754
Mo3 0.0000 0.0000 0.5000
W1 0.0000 0.0000 0.2498
W2 0.5000 0.5000 0.6250
W3 0.5000 0.5000 0.3750
W4 0.0000 0.0000 0.7502
W5 0.0000 0.0000 0.0000


Entry 11:
Density functional theory data (PBE-GGA) for a relaxed MoW3 crystal.

Its formation enthalpy at 0 K is 0.4642 eV/atom.

abc: 5.5520 5.5520 4.9265
angles: 90.00 90.00 120.00
Element x y z (fractional)
Mo1 0.3333 0.6667 0.2500
Mo2 0.6667 0.3333 0.7500
W1 0.8335 0.1665 0.2500
W2 0.1665 0.8335 0.7500
W3 0.8335 0.6671 0.2500
W4 0.1665 0.3329 0.7500
W5 0.3329 0.1665 0.2500
W6 0.6671 0.8335 0.7500


Entry 12:
Density functional theory data (PBE-GGA) for a relaxed MoW2 crystal.

Its formation enthalpy at 0 K is 0.6582 eV/atom.

abc: 5.1617 5.1617 5.1617
angles: 103.26 103.26 122.77
Element x y z (fractional)
Mo1 0.2500 0.2500 0.0000
Mo2 0.7500 0.7500 0.0000
W1 0.6480 0.8520 0.5000
W2 0.1480 0.6480 0.7960
W3 0.8520 0.3520 0.2040
W4 0.3520 0.1480 0.5000


Entry 13:
Density functional theory data (PBE-GGA) for a relaxed MoW11 crystal.

Its formation enthalpy at 0 K is 1.7059 eV/atom.

abc: 2.5927 5.3003 18.3382
angles: 90.00 90.00 90.00
Element x y z (fractional)
Mo1 0.0000 0.0000 0.0000
W1 0.0000 0.0000 0.5000
W2 0.0000 0.5000 0.7507
W3 0.0000 0.5000 0.2493
W4 0.0000 0.2501 0.8754
W5 0.0000 0.7499 0.1246
W6 0.0000 0.2501 0.1246
W7 0.0000 0.7499 0.8754
W8 0.0000 0.2499 0.6253
W9 0.0000 0.7501 0.3747
W10 0.0000 0.2499 0.3747
W11 0.0000 0.7501 0.6253


Entry 14:
Density functional theory data (PBE-GGA) for a relaxed MoW3 crystal.

Its formation enthalpy at 0 K is 0.3589 eV/atom.

abc: 2.6620 4.8467 5.3033
angles: 90.12 90.00 105.94
Element x y z (fractional)
Mo1 0.0000 0.0000 0.0000
W1 0.7513 0.5026 0.2498
W2 0.5000 0.0000 0.5000
W3 0.2487 0.4974 0.7502


Entry 15:
Density functional theory data (PBE-GGA) for a relaxed Mo4W3 crystal.

Its formation enthalpy at 0 K is -0.0125 eV/atom.

abc: 3.1740 11.3367 3.1740
angles: 81.95 90.00 98.05
Element x y z (fractional)
Mo1 0.1426 0.2851 0.8574
Mo2 0.4286 0.8573 0.5714
Mo3 0.5714 0.1427 0.4286
Mo4 0.8574 0.7149 0.1426
W1 0.0000 0.0000 0.0000
W2 0.2859 0.5718 0.7141
W3 0.7141 0.4282 0.2859


Entry 16:
Density functional theory data (PBE-GGA) for a relaxed MoW crystal.

Its formation enthalpy at 0 K is 0.3923 eV/atom.

abc: 5.3420 5.5992 2.5984
angles: 76.58 90.00 119.17
Element x y z (fractional)
Mo1 0.0134 0.9944 0.0028
Mo2 0.0700 0.5056 0.2472
W1 0.5235 0.0051 0.4975
W2 0.5598 0.4949 0.7525


Entry 17:
Density functional theory data (PBE-GGA) for a relaxed Mo4W crystal.

Its formation enthalpy at 0 K is 0.4333 eV/atom.

abc: 4.5880 5.0960 7.8381
angles: 90.00 90.00 112.95
Element x y z (fractional)
Mo1 0.9937 0.2494 0.4154
Mo2 0.5704 0.6588 0.8498
Mo3 0.4296 0.3412 0.1502
Mo4 0.0063 0.7506 0.5846
Mo5 0.9296 0.3412 0.8498
Mo6 0.4937 0.2494 0.5846
Mo7 0.5063 0.7506 0.4154
Mo8 0.0704 0.6588 0.1502
W1 0.2500 0.0000 0.8807
W2 0.7500 0.0000 0.1193


Entry 18:
Density functional theory data (PBE-GGA) for a relaxed MoW crystal.

Its formation enthalpy at 0 K is -0.0104 eV/atom.

abc: 3.1775 5.2664 6.3565
angles: 72.29 90.00 107.56
Element x y z (fractional)
Mo1 0.0279 0.0558 0.9443
Mo2 0.3612 0.7224 0.7779
Mo3 0.3609 0.7218 0.2778
W1 0.6947 0.3893 0.6114
W2 0.0276 0.0553 0.4444
W3 0.6943 0.3887 0.1108


Entry 19:
Density functional theory data (PBE-GGA) for a relaxed Mo4W5 crystal.

Its formation enthalpy at 0 K is 1.0890 eV/atom.

abc: 4.3213 6.7359 6.7359
angles: 84.09 71.29 71.29
Element x y z (fractional)
Mo1 0.2766 0.0538 0.3929
Mo2 0.6695 0.6071 0.0538
Mo3 0.3305 0.3929 0.9462
Mo4 0.7234 0.9462 0.6071
W1 0.5000 0.0000 0.0000
W2 0.0008 0.7751 0.2233
W3 0.2241 0.7767 0.7751
W4 0.7759 0.2233 0.2249
W5 0.9992 0.2249 0.7767


Entry 20:
Density functional theory data (PBE-GGA) for a relaxed Mo2W crystal.

Its formation enthalpy at 0 K is 1.0082 eV/atom.

abc: 4.3036 4.3036 3.0711
angles: 90.00 90.00 90.00
Element x y z (fractional)
Mo1 0.0000 0.5000 0.5000
Mo2 0.5000 0.0000 0.5000
W1 0.0000 0.0000 0.0000